Compound: Y2W3
Source: the Alexandria database
Functional: PBEsol
Structure: optimized geometry

a = 3.108 Å, b = 3.108 Å, c = 11.950 Å
α = 90.00°, β = 90.00°, γ = 120.00°
Fractional positions:
W 0.000 0.000 0.000
W 0.333 0.667 0.424
W 0.667 0.333 0.576
Y 0.333 0.667 0.790
Y 0.667 0.333 0.210

- total magnetization (Bohr magnetons per cell) = 0.0
- calculated formation energy (kJ/mol of formula units) = 383
- crystal system = trigonal